A geometry-optimized K2NbAlIr structure, computed with PBE.

extended XYZ file:
```
5
Lattice="6.143 0.000 0.000 0.000 6.143 0.000 0.000 0.000 4.637" Properties=species:S:1:pos:R:3 pbc="T T T"
K 0.000 3.072 0.000
K 3.072 0.000 0.000
Nb 0.000 0.000 2.319
Al 3.072 3.072 2.319
Ir 3.072 3.072 0.000
```

Properties
Electronic total energy   -3.405 eV per atom
Size of the total moment   0.4 μB per formula unit
DOS at the Fermi energy   9.11 states/eV/cell